First-principles (GGA-PBE) data for crystalline LiAgW2 at its relaxed geometry, as listed in Alexandria.

The structure belongs to space group R-3m (No. 166, hexagonal axes); the cell edges are 2.7542, 2.7542 and 29.9544 Å and the angles 90.00°, 90.00° and 120.00°. The distinct sites, in fractional coordinates, are Li at (0.0000, 0.0000, 0.0000), Ag at (0.0000, 0.0000, 0.5000) and W at (0.0000, 0.0000, 0.2499).

The energy above the most stable polymorph in this dataset is 343 meV per atom. For the formation enthalpy at 0 K, the calculation gives 0.609 eV/atom. The density of states at the Fermi level is 0.64 states/eV/atom.



First-principles (GGA-PBE) data for crystalline Li2AgW at its relaxed geometry, as listed in Alexandria.

The structure belongs to space group Immm (No. 71); the cell edges are 2.6540, 5.0048 and 9.6933 Å and the angles 90.00°, 90.00° and 90.00°. The distinct sites, in fractional coordinates, are Li at (0.0000, 0.0000, 0.2411), Ag at (0.0000, 0.5000, 0.5000) and W at (0.0000, 0.5000, 0.0000).

The energy above the most stable polymorph in this dataset is 276 meV per atom. For the formation enthalpy at 0 K, the calculation gives 0.491 eV/atom. The density of states at the Fermi level is 0.71 states/eV/atom.



First-principles (GGA-PBE) data for crystalline LiAgW2 at its relaxed geometry, as listed in Alexandria.

The structure belongs to space group Pmmm (No. 47); the cell edges are 3.0017, 4.3191 and 4.9213 Å and the angles 90.00°, 90.00° and 90.00°. The distinct sites, in fractional coordinates, are Li at (0.0000, 0.0000, 0.0000), Ag at (0.5000, 0.5000, 0.0000), W at (0.0000, 0.5000, 0.5000) and W at (0.5000, 0.0000, 0.5000).

The energy above the most stable polymorph in this dataset is 218 meV per atom. For the formation enthalpy at 0 K, the calculation gives 0.484 eV/atom. The density of states at the Fermi level is 0.63 states/eV/atom.